The following is a meta-GGA SCAN calculation of MnAlW2 at its PBEsol-relaxed geometry, from Alexandria via LeMat-Bulk.

Computed properties:
E_form	-0.09	eV/atom
volume	13.971	Å³ per atom
raw total energy	-3.045	Ry per atom

a b c (Å): 3.061 4.269 5.019
angles (deg): 115.17 107.76 90.00
Atoms (fractional coordinates):
W1 0.762 0.762 0.523
W2 0.238 0.238 0.477
Al1 0.000 0.500 0.000
Mn1 0.500 0.000 0.000

The following is a meta-GGA SCAN calculation of MnAlW2 at its PBEsol-relaxed geometry, from Alexandria via LeMat-Bulk.

Computed properties:
E_form	0.04	eV/atom
volume	13.938	Å³ per atom
raw total energy	-3.036	Ry per atom

a b c (Å): 3.058 4.307 4.990
angles (deg): 115.57 107.84 90.00
Atoms (fractional coordinates):
Mn1 0.256 0.756 0.511
Al1 0.512 0.512 0.025
W1 0.990 0.990 0.979
W2 0.742 0.242 0.484

The following is a meta-GGA SCAN calculation of MnAlW2 at its PBEsol-relaxed geometry, from Alexandria via LeMat-Bulk.

Computed properties:
E_form	0.29	eV/atom
volume	14.350	Å³ per atom
raw total energy	-3.017	Ry per atom

a b c (Å): 2.762 2.762 8.832
angles (deg): 81.00 81.00 60.00
Atoms (fractional coordinates):
W1 0.992 0.992 0.023
W2 0.751 0.751 0.748
Mn1 0.250 0.250 0.250
Al1 0.507 0.507 0.479